# 1
Entry from Alexandria via LeMat-Bulk: a relaxed structure of MnInOs2 (GGA-PBE).

## Properties
V = 128 Å³ per cell
VASP energy = -7.964 eV per atom

Unit cell a=2.910 b=4.807 c=9.143 alpha=90.00 beta=90.00 gamma=90.00
Space group Cmm2 (No. 35)
Asymmetric unit:
Mn 0.000 0.000 0.000
In 0.000 0.500 0.264
Os 0.000 0.000 0.531
Os 0.000 0.500 0.772

# 2
Entry from Alexandria via LeMat-Bulk: a relaxed structure of MnIn2Os (GGA-PBE).

## Properties
V = 70 Å³ per cell
VASP energy = -6.046 eV per atom

Unit cell a=3.033 b=3.963 c=5.843 alpha=90.00 beta=90.00 gamma=90.00
Space group Pmmm (No. 47)
Asymmetric unit:
Mn 0.000 0.000 0.000
In 0.500 0.500 0.255
Os 0.000 0.000 0.500

# 3
Entry from Alexandria via LeMat-Bulk: a relaxed structure of Mn2InOs2 (GGA-PBE).

## Properties
V = 149 Å³ per cell
E above lowest polymorph = 0.0 meV per atom
VASP energy = -8.402 eV per atom

Unit cell a=7.392 b=7.392 c=2.728 alpha=90.00 beta=90.00 gamma=90.00
Space group P4/mbm (No. 127)
Asymmetric unit:
Mn 0.162 0.338 0.000
In 0.000 0.000 0.500
Os 0.127 0.627 0.500